1.
Compound: FeIrOs2
Source: the Alexandria database
Functional: PBE
Structure: relaxed

Cell: 8.873 2.701 4.650 Å, 90.00 100.33 90.00°
Positions (direct):
Fe: 0.000 0.000 0.000
Fe: 0.500 0.500 0.000
Ir: 0.000 0.500 0.500
Ir: 0.500 0.000 0.500
Os: 0.248 0.500 0.242
Os: 0.252 0.000 0.758
Os: 0.748 0.000 0.242
Os: 0.752 0.500 0.758

Properties
The value obtained for the energy above the lowest structure with this stoichiometry is 61 meV per atom. As for the space group: C2/m, No. 12. For the formation enthalpy at 0 K, the calculation gives 0.38 eV per formula unit.

---

2.
Compound: FeIrOs2
Source: the Alexandria database
Functional: PBE
Structure: relaxed

Cell: 3.799 3.799 7.604 Å, 90.00 90.00 90.00°
Positions (direct):
Fe: 0.000 0.000 0.000
Fe: 0.500 0.500 0.500
Ir: 0.000 0.500 0.750
Ir: 0.500 0.000 0.250
Os: 0.000 0.000 0.500
Os: 0.000 0.500 0.250
Os: 0.500 0.000 0.750
Os: 0.500 0.500 0.000

Properties
The value obtained for the energy above the lowest structure with this stoichiometry is 54 meV per atom. As for the space group: I-4m2, No. 119. For the formation enthalpy at 0 K, the calculation gives 0.35 eV per formula unit.

---

3.
Compound: Fe4Ir12Os3
Source: the Alexandria database
Functional: PBE
Structure: relaxed

Cell: 7.934 7.934 7.934 Å, 109.47 109.47 109.47°
Positions (direct):
Fe: 0.000 0.000 0.500
Fe: 0.000 0.500 0.000
Fe: 0.500 0.000 0.000
Fe: 0.500 0.500 0.500
Ir: 0.097 0.737 0.360
Ir: 0.263 0.360 0.623
Ir: 0.263 0.640 0.903
Ir: 0.360 0.097 0.737
Ir: 0.360 0.623 0.263
Ir: 0.377 0.737 0.640
Ir: 0.623 0.263 0.360
Ir: 0.640 0.377 0.737
Ir: 0.640 0.903 0.263
Ir: 0.737 0.360 0.097
Ir: 0.737 0.640 0.377
Ir: 0.903 0.263 0.640
Os: 0.000 0.500 0.500
Os: 0.500 0.000 0.500
Os: 0.500 0.500 0.000

Properties
As for the space group: Im-3, No. 204. For the formation enthalpy at 0 K, the calculation gives 14.65 eV per formula unit.

---

4.
Compound: FeIr2Os
Source: the Alexandria database
Functional: PBE
Structure: relaxed

Cell: 5.355 5.355 10.969 Å, 90.00 90.00 90.00°
Positions (direct):
Fe: 0.000 0.000 0.000
Fe: 0.000 0.500 0.250
Fe: 0.500 0.000 0.750
Fe: 0.500 0.500 0.500
Ir: 0.230 0.250 0.125
Ir: 0.250 0.730 0.375
Ir: 0.250 0.770 0.875
Ir: 0.270 0.250 0.625
Ir: 0.730 0.750 0.625
Ir: 0.750 0.230 0.875
Ir: 0.750 0.270 0.375
Ir: 0.770 0.750 0.125
Os: 0.000 0.000 0.500
Os: 0.000 0.500 0.750
Os: 0.500 0.000 0.250
Os: 0.500 0.500 0.000

Properties
The value obtained for the energy above the lowest structure with this stoichiometry is 1066 meV per atom. As for the space group: I-42d, No. 122. For the formation enthalpy at 0 K, the calculation gives 4.16 eV per formula unit.